# MgGaGePd

MgGaGePd after structural relaxation (PBE, the Alexandria database).

As for the size of the total moment: 0.0 μB/cell. The calculation puts the calculated formation energy at -0.2397 eV/atom.

The space group is F-43m (No. 216) and the conventional cell measures 6.487, 6.487 and 6.487 Å, with angles of 90.00, 90.00 and 90.00 degrees. Symmetry generates all atoms from Mg at (0.000, 0.000, 0.000), Ga at (0.250, 0.250, 0.750), Ge at (0.250, 0.250, 0.250) and Pd at (0.000, 0.000, 0.500).

# Sc6PC2Se3

Sc6PC2Se3 after structural relaxation (PBE, the Alexandria database).

Its uncorrected formation energy is -1.3166 eV per atom. As for the size of the total moment: 0.0 μB/cell.

The space group is C2/m (No. 12) and the conventional cell measures 16.176, 3.606 and 7.496 Å, with angles of 90.00, 105.39 and 90.00 degrees. Symmetry generates all atoms from Sc at (0.021, 0.000, 0.252), Sc at (0.169, 0.500, 0.127), Sc at (0.180, 0.500, 0.557), P at (0.000, 0.500, 0.000), C at (0.170, 0.000, 0.338), Se at (0.000, 0.500, 0.500) and Se at (0.162, 0.000, 0.832).

# TlIrRuSe2

TlIrRuSe2 after structural relaxation (PBE, the Alexandria database).

Its uncorrected formation energy is 0.7697 eV per atom. The value obtained for the energy above the most stable polymorph in this dataset is 0 meV per atom. As for the size of the total moment: 1.7 μB/cell.

The space group is P4/mmm (No. 123) and the conventional cell measures 4.984, 4.984 and 4.856 Å, with angles of 90.00, 90.00 and 90.00 degrees. Symmetry generates all atoms from Tl at (0.000, 0.000, 0.000), Ir at (0.500, 0.500, 0.500), Ru at (0.500, 0.500, 0.000) and Se at (0.000, 0.500, 0.500).

# Dy7Al4Cd

Dy7Al4Cd after structural relaxation (PBE, the Alexandria database).

As for the size of the total moment: 0.0 μB/cell. The calculation puts the calculated formation energy at -0.1150 eV/atom.

The space group is C2/m (No. 12) and the conventional cell measures 13.868, 5.632 and 9.224 Å, with angles of 90.00, 118.46 and 90.00 degrees. Symmetry generates all atoms from Dy at (0.000, 0.000, 0.000), Dy at (0.083, 0.500, 0.424), Dy at (0.188, 0.500, 0.868), Dy at (0.245, 0.000, 0.711), Al at (0.022, 0.000, 0.665), Al at (0.175, 0.000, 0.340) and Cd at (0.000, 0.500, 0.000).

# Sr2AgHPd

Sr2AgHPd after structural relaxation (PBE, the Alexandria database).

The value obtained for the energy above the most stable polymorph in this dataset is 65 meV per atom. As for the size of the total moment: 0.0 μB/cell.

The space group is P4/mmm (No. 123) and the conventional cell measures 5.312, 5.312 and 3.988 Å, with angles of 90.00, 90.00 and 90.00 degrees. Symmetry generates all atoms from Sr at (0.000, 0.500, 0.000), Ag at (0.000, 0.000, 0.500), H at (0.000, 0.000, 0.000) and Pd at (0.500, 0.500, 0.500).

# NaBiSb2I

NaBiSb2I after structural relaxation (PBE, the Alexandria database).

Its uncorrected formation energy is 0.2929 eV per atom. The value obtained for the energy above the most stable polymorph in this dataset is 0 meV per atom. As for the size of the total moment: 1.0 μB/cell.

The space group is P4/mmm (No. 123) and the conventional cell measures 5.866, 5.866 and 6.543 Å, with angles of 90.00, 90.00 and 90.00 degrees. Symmetry generates all atoms from Na at (0.000, 0.000, 0.000), Bi at (0.500, 0.500, 0.500), Sb at (0.000, 0.500, 0.500) and I at (0.500, 0.500, 0.000).

# BaGaMo2

BaGaMo2 after structural relaxation (PBE, the Alexandria database).

As for the size of the total moment: 0.0 μB/cell. The calculation puts the calculated formation energy at 1.2098 eV/atom.

The space group is I-42d (No. 122) and the conventional cell measures 8.038, 8.038 and 5.626 Å, with angles of 90.00, 90.00 and 90.00 degrees. Symmetry generates all atoms from Ba at (0.000, 0.000, 0.000), Ga at (0.000, 0.000, 0.500) and Mo at (0.189, 0.250, 0.625).

# Sm5Dy5Sc2

Sm5Dy5Sc2 after structural relaxation (PBE, the Alexandria database).

As for the size of the total moment: 0.0 μB/cell. The calculation puts the calculated formation energy at 0.0360 eV/atom.

The space group is C2/m (No. 12) and the conventional cell measures 14.984, 4.991 and 11.166 Å, with angles of 90.00, 116.51 and 90.00 degrees. Symmetry generates all atoms from Sm at (0.000, 0.000, 0.000), Sm at (0.164, 0.000, 0.499), Sm at (0.247, 0.500, 0.749), Dy at (0.000, 0.500, 0.500), Dy at (0.080, 0.500, 0.250), Dy at (0.168, 0.500, 0.000) and Sc at (0.084, 0.000, 0.753).

Which of these has the highest size of the total moment? TlIrRuSe2

Please write out number 4 again, unchanged.
# Dy7Al4Cd

Dy7Al4Cd after structural relaxation (PBE, the Alexandria database).

As for the size of the total moment: 0.0 μB/cell. The calculation puts the calculated formation energy at -0.1150 eV/atom.

The space group is C2/m (No. 12) and the conventional cell measures 13.868, 5.632 and 9.224 Å, with angles of 90.00, 118.46 and 90.00 degrees. Symmetry generates all atoms from Dy at (0.000, 0.000, 0.000), Dy at (0.083, 0.500, 0.424), Dy at (0.188, 0.500, 0.868), Dy at (0.245, 0.000, 0.711), Al at (0.022, 0.000, 0.665), Al at (0.175, 0.000, 0.340) and Cd at (0.000, 0.500, 0.000).